Computed, not measured: Rb2VW3O12 after structural relaxation at the PBE+U level of DFT.

## Properties
Uncorrected energy = -7.074 eV per atom
Symmetry = R-3m (166)

a = 7.2905 Å, b = 7.2905 Å, c = 7.2905 Å
α = 60.80°, β = 60.80°, γ = 60.80°
Each line ends with the local moment (μB).
Fractional coordinates of all 18 atoms:
O 0.3147 0.9411 0.3147  0.00
O 0.9411 0.3147 0.3147  0.00
O 0.9412 0.3102 0.9412  -0.03
O 0.6853 0.0589 0.6853  0.00
O 0.6853 0.6853 0.0589  0.00
O 0.3102 0.9412 0.9412  -0.03
O 0.0588 0.0588 0.6898  -0.03
O 0.3147 0.3147 0.9411  0.00
O 0.6898 0.0588 0.0588  -0.03
O 0.9412 0.9412 0.3102  -0.03
O 0.0589 0.6853 0.6853  0.00
O 0.0588 0.6898 0.0588  -0.03
Rb 0.3675 0.3675 0.3675  0.00
Rb 0.6325 0.6325 0.6325  0.00
W 0.0000 0.5000 0.0000  0.04
W 0.5000 0.0000 0.0000  0.04
W 0.0000 0.0000 0.5000  0.04
V 0.0000 0.0000 0.0000  1.05